1.
The following is a PBE-GGA calculation of a relaxed SiMoSe2 crystal, from Alexandria via LeMat-Bulk.

Structure (POSCAR):
```
SiMoSe2
1.0
4.151 -1.641 0.000
4.151 1.641 0.000
-1.054 0.000 6.658
Si Mo Se
1 1 2
Direct
0.000 0.000 0.000
0.727 0.727 0.087
0.197 0.197 0.782
0.427 0.427 0.313
```

Magnetic moment = 0.0 μB/cell
Energy relative to the elements, uncorrected = -0.12 eV per atom
Total DFT energy (no corrections) = -5.925 eV/atom

***

2.
The following is a PBE-GGA calculation of a relaxed Dy3InTc crystal, from Alexandria via LeMat-Bulk.

Structure (POSCAR):
```
Dy3InTc
1.0
0.000 4.829 8.020
3.326 0.000 8.020
3.326 4.829 0.000
Dy In Tc
6 2 2
Direct
0.199 0.582 0.418
0.201 0.201 0.799
0.418 0.801 0.199
0.582 0.199 0.801
0.799 0.799 0.201
0.801 0.418 0.582
0.206 0.794 0.794
0.794 0.206 0.206
0.250 0.250 0.250
0.750 0.750 0.750
```

Magnetic moment = 0.0 μB/cell
Total DFT energy (no corrections) = -5.611 eV/atom
DFT formation energy = -110 kJ/mol of formula units

***

3.
The following is a PBE-GGA calculation of a relaxed NaTaTc2 crystal, from Alexandria via LeMat-Bulk.

Structure (POSCAR):
```
NaTaTc2
1.0
-3.599 3.599 2.779
3.599 -3.599 2.779
3.599 3.599 -2.779
Na Ta Tc
2 2 4
Direct
0.000 0.000 0.000
0.750 0.250 0.500
0.250 0.750 0.500
0.500 0.500 0.000
0.147 0.625 0.022
0.375 0.397 0.522
0.603 0.125 0.978
0.875 0.853 0.478
```

Magnetic moment = 0.0 μB/cell
Total DFT energy (no corrections) = -7.366 eV/atom
DFT formation energy = 428 kJ/mol of formula units

***

4.
The following is a PBE-GGA calculation of a relaxed MgCrPd2 crystal, from Alexandria via LeMat-Bulk.

Structure (POSCAR):
```
MgCrPd2
1.0
-3.497 3.497 2.810
3.497 -3.497 2.810
3.497 3.497 -2.810
Mg Cr Pd
2 2 4
Direct
0.000 0.000 0.000
0.750 0.250 0.500
0.250 0.750 0.500
0.500 0.500 0.000
0.132 0.625 0.007
0.375 0.382 0.507
0.618 0.125 0.993
0.875 0.868 0.493
```

Magnetic moment = 7.8 μB/cell
Total DFT energy (no corrections) = -5.326 eV/atom
DFT formation energy = 29 kJ/mol of formula units

***

5.
The following is a PBE-GGA calculation of a relaxed Cs4Rb2Sr crystal, from Alexandria via LeMat-Bulk.

Structure (POSCAR):
```
Cs4Rb2Sr
1.0
-4.264 4.264 11.976
4.264 -4.264 11.976
4.264 4.264 -11.976
Cs Rb Sr
4 2 1
Direct
0.000 0.500 0.500
0.191 0.191 0.000
0.500 0.000 0.500
0.809 0.809 0.000
0.391 0.391 0.000
0.609 0.609 0.000
0.000 0.000 0.000
```

Magnetic moment = 0.0 μB/cell
Total DFT energy (no corrections) = -0.783 eV/atom
DFT formation energy = 150 kJ/mol of formula units

***

6.
The following is a PBE-GGA calculation of a relaxed PmNd2SmP4 crystal, from Alexandria via LeMat-Bulk.

Structure (POSCAR):
```
PmNd2SmP4
1.0
7.176 0.000 0.000
0.000 4.146 0.000
-2.390 0.000 6.767
Pm Nd Sm P
1 2 1 4
Direct
0.000 0.000 0.000
0.000 0.500 0.500
0.500 0.000 0.500
0.500 0.500 0.000
0.250 0.500 0.247
0.252 0.000 0.753
0.748 0.000 0.247
0.750 0.500 0.753
```

Magnetic moment = 0.0 μB/cell
Total DFT energy (no corrections) = -6.634 eV/atom
DFT formation energy = -1199 kJ/mol of formula units

***

7.
The following is a PBE-GGA calculation of a relaxed HoTmNi2Ge2 crystal, from Alexandria via LeMat-Bulk.

Structure (POSCAR):
```
HoTmNi2Ge2
1.0
4.200 0.000 0.000
-2.100 3.637 0.000
0.000 0.000 7.023
Ho Tm Ni Ge
1 1 2 2
Direct
0.000 0.000 0.000
0.000 0.000 0.500
0.333 0.667 0.738
0.667 0.333 0.262
0.333 0.667 0.256
0.667 0.333 0.744
```

Magnetic moment = 0.0 μB/cell
Total DFT energy (no corrections) = -5.743 eV/atom
DFT formation energy = -445 kJ/mol of formula units

***

8.
The following is a PBE-GGA calculation of a relaxed Ba2LiCeSe5 crystal, from Alexandria via LeMat-Bulk.

Structure (POSCAR):
```
Ba2LiCeSe5
1.0
2.253 -8.960 0.000
2.253 8.960 0.000
0.000 0.000 13.363
Ba Li Ce Se
4 2 2 10
Direct
0.114 0.886 0.500
0.122 0.878 0.863
0.878 0.122 0.363
0.886 0.114 0.000
0.489 0.511 0.673
0.511 0.489 0.173
0.188 0.812 0.202
0.812 0.188 0.702
0.038 0.962 0.250
0.303 0.697 0.842
0.331 0.669 0.559
0.347 0.653 0.179
0.477 0.523 0.478
0.523 0.477 0.978
0.653 0.347 0.679
0.669 0.331 0.059
0.697 0.303 0.342
0.962 0.038 0.750
```

Magnetic moment = 2.2 μB/cell
Energy relative to the elements, uncorrected = -1.60 eV per atom
Total DFT energy (no corrections) = -4.834 eV/atom

***

9.
The following is a PBE-GGA calculation of a relaxed NbTcNi4 crystal, from Alexandria via LeMat-Bulk.

Structure (POSCAR):
```
NbTcNi4
1.0
0.000 3.344 3.344
3.344 0.000 3.344
3.344 3.344 0.000
Nb Tc Ni
1 1 4
Direct
0.000 0.000 0.000
0.250 0.250 0.250
0.128 0.624 0.624
0.624 0.128 0.624
0.624 0.624 0.128
0.624 0.624 0.624
```

Magnetic moment = 0.0 μB/cell
Total DFT energy (no corrections) = -7.380 eV/atom
DFT formation energy = -69 kJ/mol of formula units

***

10.
The following is a PBE-GGA calculation of a relaxed SrLa2SnRh crystal, from Alexandria via LeMat-Bulk.

Structure (POSCAR):
```
SrLa2SnRh
1.0
5.547 0.000 0.000
0.000 5.547 0.000
0.000 0.000 5.417
Sr La Sn Rh
1 2 1 1
Direct
0.000 0.000 0.000
0.000 0.500 0.500
0.500 0.000 0.500
0.500 0.500 0.000
0.500 0.500 0.500
```

Magnetic moment = 0.0 μB/cell
Total DFT energy (no corrections) = -5.027 eV/atom
DFT formation energy = -217 kJ/mol of formula units

***

11.
The following is a PBE-GGA calculation of a relaxed Re2HW2 crystal, from Alexandria via LeMat-Bulk.

Structure (POSCAR):
```
Re2HW2
1.0
-2.054 2.054 5.637
2.054 -2.054 5.637
2.054 2.054 -5.637
Re H W
2 1 2
Direct
0.119 0.119 0.000
0.881 0.881 0.000
0.500 0.500 0.000
0.250 0.750 0.500
0.750 0.250 0.500
```

Magnetic moment = 0.0 μB/cell
Total DFT energy (no corrections) = -9.565 eV/atom

***

12.
The following is a PBE-GGA calculation of a relaxed HgPd2Rh2 crystal, from Alexandria via LeMat-Bulk.

Structure (POSCAR):
```
HgPd2Rh2
1.0
7.687 0.000 0.000
0.000 7.687 0.000
0.000 0.000 2.815
Hg Pd Rh
2 4 4
Direct
0.000 0.000 0.000
0.500 0.500 0.000
0.127 0.373 0.000
0.373 0.873 0.000
0.627 0.127 0.000
0.873 0.627 0.000
0.170 0.670 0.500
0.330 0.170 0.500
0.670 0.830 0.500
0.830 0.330 0.500
```

Magnetic moment = 0.0 μB/cell
Total DFT energy (no corrections) = -4.799 eV/atom
DFT formation energy = 135 kJ/mol of formula units

***

Repeat the eleventh record exactly.
The following is a PBE-GGA calculation of a relaxed Re2HW2 crystal, from Alexandria via LeMat-Bulk.

Structure (POSCAR):
```
Re2HW2
1.0
-2.054 2.054 5.637
2.054 -2.054 5.637
2.054 2.054 -5.637
Re H W
2 1 2
Direct
0.119 0.119 0.000
0.881 0.881 0.000
0.500 0.500 0.000
0.250 0.750 0.500
0.750 0.250 0.500
```

Magnetic moment = 0.0 μB/cell
Total DFT energy (no corrections) = -9.565 eV/atom

***

Q: Which formula does entry 8 have?
A: Ba2LiCeSe5

***

Q: Among the records above, which one has the highest magnetic moment?
A: MgCrPd2

***

Q: What is the formula in the first record?
A: SiMoSe2